(1)
Density functional theory data (PBEsol) for RuAuSe3 after structural relaxation.

abc: 4.767 4.767 4.767
angles: 90.00 90.00 90.00
Fractional coordinates of all 5 atoms:
Ru  0.000  0.000  0.000
Au  0.500  0.500  0.500
Se  0.000  0.500  0.000
Se  0.000  0.000  0.500
Se  0.500  0.000  0.000

Output
ΔE_f (raw) in eV/f.u.: 3.4
Symmetry: Pm-3m (221)
Density in g/cm³: 8.2
Total moment in μB/cell: 0.00

(2)
Density functional theory data (PBEsol) for Re8W after structural relaxation.

abc: 3.890 6.158 6.158
angles: 84.27 71.59 71.59
Fractional coordinates of all 9 atoms:
Re  0.000  0.337  0.663
Re  0.000  0.663  0.337
Re  0.663  0.337  0.337
Re  0.670  0.660  0.000
Re  0.670  0.000  0.660
Re  0.337  0.663  0.663
Re  0.330  0.000  0.340
Re  0.330  0.340  0.000
W  0.000  0.000  0.000

Output
Symmetry: I4/mmm (139)
ΔE_f in eV/f.u.: 0.75
Density in g/cm³: 20.9
Total moment in μB/cell: 0.00

Look up the total moment of the first one. 0.00 μB/cell

Which formula does entry 2 have? Re8W

density of number 1 (RuAuSe3)? 8.2 g/cm³